(1)
LiLaRu2 (GGA-PBE, optimized geometry); ΔE to the lowest computed polymorph = 0.00 eV/f.u.; total magnetization = 0.000 Bohr magnetons per cell; energy of formation from the pure elements = 5 kJ/mol of formula units; DOS at the Fermi energy = 3.63 states/eV/f.u.
1.0
4.3330 0.0000 0.0000
-2.1665 3.7525 0.0000
0.0000 0.0000 15.0327
Li La Ru
3 3 6
Direct
0.0000 0.0000 0.0000
0.3333 0.6667 0.6667
0.6667 0.3333 0.3333
0.0000 0.0000 0.2014
0.3333 0.6667 0.8681
0.6667 0.3333 0.5348
0.0000 0.0000 0.4007
0.0000 0.0000 0.7288
0.3333 0.6667 0.0674
0.3333 0.6667 0.3955
0.6667 0.3333 0.0622
0.6667 0.3333 0.7341

(2)
TaSbRh (GGA-PBE, optimized geometry); total magnetization = 0.000 Bohr magnetons per cell; E_form (uncorrected) = -106 meV/atom; DOS at the Fermi energy = 2.61 states/eV/f.u.
1.0
3.1533 0.0000 0.0000
0.0000 3.1533 0.0000
0.0000 0.0000 11.4070
Ta Sb Rh
2 2 2
Direct
0.0000 0.0000 0.0000
0.5000 0.5000 0.5000
0.0000 0.0000 0.6864
0.5000 0.5000 0.1864
0.0000 0.0000 0.3716
0.5000 0.5000 0.8716

(3)
Al4PtAu (GGA-PBE, optimized geometry); ΔE to the lowest computed polymorph = 4.07 eV/f.u.; total magnetization = 0.000 Bohr magnetons per cell; energy of formation from the pure elements = 0 kJ/mol of formula units; DOS at the Fermi energy = 3.30 states/eV/f.u.
1.0
0.0000 3.6536 3.6536
3.6536 0.0000 3.6536
3.6536 3.6536 0.0000
Al Pt Au
4 1 1
Direct
0.1253 0.1253 0.1253
0.1253 0.1253 0.6241
0.1253 0.6241 0.1253
0.6241 0.1253 0.1253
0.5000 0.5000 0.5000
0.7500 0.7500 0.7500

(4)
Tl2AsPt (GGA-PBE, optimized geometry); ΔE to the lowest computed polymorph = 1.95 eV/f.u.; total magnetization = 0.000 Bohr magnetons per cell; energy of formation from the pure elements = 118 kJ/mol of formula units; DOS at the Fermi energy = 1.93 states/eV/f.u.
1.0
7.0852 0.0000 0.0000
0.0000 7.0852 0.0000
0.0000 0.0000 7.0852
Tl As Pt
8 4 4
Direct
0.2500 0.2500 0.2500
0.2500 0.2500 0.7500
0.2500 0.7500 0.2500
0.2500 0.7500 0.7500
0.7500 0.2500 0.2500
0.7500 0.2500 0.7500
0.7500 0.7500 0.2500
0.7500 0.7500 0.7500
0.0000 0.0000 0.0000
0.0000 0.5000 0.5000
0.5000 0.0000 0.5000
0.5000 0.5000 0.0000
0.0000 0.0000 0.5000
0.0000 0.5000 0.0000
0.5000 0.0000 0.0000
0.5000 0.5000 0.5000

(5)
Al2TlC (GGA-PBE, optimized geometry); total magnetization = 0.000 Bohr magnetons per cell; energy of formation from the pure elements = 547 kJ/mol of formula units; DOS at the Fermi energy = 2.31 states/eV/f.u.
1.0
6.5158 0.0000 0.0000
0.0000 6.5158 0.0000
0.0000 0.0000 6.5158
Al Tl C
8 4 4
Direct
0.2500 0.2500 0.2500
0.2500 0.2500 0.7500
0.2500 0.7500 0.2500
0.2500 0.7500 0.7500
0.7500 0.2500 0.2500
0.7500 0.2500 0.7500
0.7500 0.7500 0.2500
0.7500 0.7500 0.7500
0.0000 0.0000 0.0000
0.0000 0.5000 0.5000
0.5000 0.0000 0.5000
0.5000 0.5000 0.0000
0.0000 0.0000 0.5000
0.0000 0.5000 0.0000
0.5000 0.0000 0.0000
0.5000 0.5000 0.5000

(6)
Na4IrPt3O8 (GGA-PBE, optimized geometry); total magnetization = 1.060 Bohr magnetons per cell; E_form (uncorrected) = -951 meV/atom; DOS at the Fermi energy = 4.91 states/eV/f.u.
1.0
6.0183 -3.1154 0.0000
6.0183 3.1154 0.0000
-2.5914 0.0000 5.4628
Na Ir Pt O
4 1 3 8
Direct
0.0000 0.0000 0.0000
0.0000 0.5000 0.5000
0.5000 0.0000 0.5000
0.5000 0.5000 0.0000
0.0000 0.0000 0.5000
0.0000 0.5000 0.0000
0.5000 0.0000 0.0000
0.5000 0.5000 0.5000
0.1784 0.1784 0.7560
0.2099 0.7110 0.6750
0.2890 0.7901 0.3250
0.3141 0.3141 0.2452
0.6859 0.6859 0.7548
0.7110 0.2099 0.6750
0.7901 0.2890 0.3250
0.8216 0.8216 0.2440

(7)
Li2TcMoC (GGA-PBE, optimized geometry); total magnetization = 0.734 Bohr magnetons per cell; energy of formation from the pure elements = 1222 kJ/mol of formula units; DOS at the Fermi energy = 4.95 states/eV/f.u.
1.0
4.8508 0.0000 0.0000
0.0000 4.8508 0.0000
0.0000 0.0000 4.4554
Li Tc Mo C
2 1 1 1
Direct
0.0000 0.5000 0.0000
0.5000 0.0000 0.0000
0.0000 0.0000 0.5000
0.0000 0.0000 0.0000
0.5000 0.5000 0.5000

(8)
AcSn2P (GGA-PBE, optimized geometry); ΔE to the lowest computed polymorph = 1.11 eV/f.u.; total magnetization = 0.000 Bohr magnetons per cell; energy of formation from the pure elements = -72 kJ/mol of formula units; DOS at the Fermi energy = 2.92 states/eV/f.u.
1.0
4.0064 0.0000 0.0000
0.0000 4.0064 0.0000
0.0000 0.0000 6.7703
Ac Sn P
1 2 1
Direct
0.0000 0.0000 0.0000
0.5000 0.5000 0.2969
0.5000 0.5000 0.7031
0.0000 0.0000 0.5000